Material: TiAlPS2
Method: DFT, PBE
State: relaxed

The structure in extended XYZ format:
```
5
Lattice="-1.858 -1.138 4.031 4.082 -1.478 1.464 0.937 4.184 1.613" Properties=species:S:1:pos:R:3 pbc="T T T"
P 0.468 2.092 0.806
S 2.041 -0.739 0.732
S -0.929 -0.569 2.016
Al 0.000 0.000 0.000
Ti 1.581 0.784 3.554
```

Space-group type: No. 123
Density: 2.93 g/cm³
Energy relative to the elements, uncorrected: 119 meV per atom